Below is an optimized crystal structure of PmGaPbS4, with properties calculated at the PBE-GGA level.

The total magnetic moment is 0.000 μB per formula unit. The uncorrected formation energy is -7.52 eV/f.u. Its raw total energy is -5.073 eV per atom.

The space group is P2_1/m (No. 11) and the conventional cell measures 6.632, 6.678 and 8.050 Å, with angles of 90.00, 106.89 and 90.00 degrees. The asymmetric unit holds Pm at (0.228, 0.250, 0.059), Ga at (0.236, 0.750, 0.811), Pb at (0.254, 0.250, 0.570), S at (0.002, 0.008, 0.765), S at (0.437, 0.750, 0.629) and S at (0.438, 0.750, 0.095).